## CaTl2Bi (GGA-PBE)

Data for a relaxed CaTl2Bi crystal.

Unit cell a=3.6729 b=3.6729 c=12.0779 alpha=81.25 beta=81.25 gamma=60.00
Atoms (fractional coordinates):
Tl 0.0910 0.0910 0.7271
Tl 0.9090 0.9090 0.2729
Ca 0.0000 0.0000 0.0000
Bi 0.5000 0.5000 0.5000

Summary:
Energy of formation in kJ per mole of atoms: 3.3
Magnetic moment in Bohr magnetons per cell: 0.00
E_tot in eV/atom: -2.62

## Ac6PRu2I2 (GGA-PBE)

Data for a relaxed Ac6PRu2I2 crystal.

Unit cell a=7.6224 b=7.6224 c=8.8957 alpha=98.23 beta=98.23 gamma=119.22
Atoms (fractional coordinates):
Ac 0.7141 0.7141 0.6816
Ac 0.0614 0.4068 0.6862
Ac 0.2859 0.2859 0.3184
Ac 0.4068 0.0614 0.6862
Ac 0.9386 0.5932 0.3138
Ac 0.5932 0.9386 0.3138
P 0.0000 0.0000 0.5000
Ru 0.3297 0.6703 0.5000
Ru 0.6703 0.3297 0.5000
I 0.8361 0.1639 0.0000
I 0.1639 0.8361 0.0000

Summary:
Magnetic moment in Bohr magnetons per cell: 0.16
E_tot in eV/atom: -5.42
Uncorrected formation energy in meV/atom: -723

## NaGa3Bi3 (GGA-PBE)

Data for a relaxed NaGa3Bi3 crystal.

Unit cell a=7.9755 b=7.9755 c=7.9755 alpha=90.00 beta=90.00 gamma=90.00
Atoms (fractional coordinates):
Na 0.5000 0.5000 0.5000
Na 0.0000 0.0000 0.0000
Bi 0.2500 0.0000 0.5000
Bi 0.0000 0.5000 0.2500
Bi 0.5000 0.7500 0.0000
Bi 0.7500 0.0000 0.5000
Bi 0.0000 0.5000 0.7500
Bi 0.5000 0.2500 0.0000
Ga 0.0000 0.2500 0.5000
Ga 0.0000 0.7500 0.5000
Ga 0.5000 0.0000 0.7500
Ga 0.7500 0.5000 0.0000
Ga 0.5000 0.0000 0.2500
Ga 0.2500 0.5000 0.0000

Summary:
Energy of formation in kJ per mole of atoms: 8.4
Magnetic moment in Bohr magnetons per cell: 0.00
E_tot in eV/atom: -3.06

## LiLuPuTl (GGA-PBE)

Data for a relaxed LiLuPuTl crystal.

Unit cell a=5.2664 b=5.2664 c=5.2664 alpha=60.00 beta=60.00 gamma=60.00
Each line ends with the local moment (μB).
Atoms (fractional coordinates):
Tl 0.5000 0.5000 0.5000  -0.04
Lu 0.7500 0.7500 0.7500  0.21
Li 0.0000 0.0000 0.0000  0.05
Pu 0.2500 0.2500 0.2500  5.50

Summary:
Energy of formation in kJ per mole of atoms: 5.0
Magnetic moment in Bohr magnetons per cell: 6.26
E_tot in eV/atom: -5.73

## MgZr5P6 (GGA-PBE)

Data for a relaxed MgZr5P6 crystal.

Unit cell a=6.5125 b=6.4956 c=6.4856 alpha=59.95 beta=80.42 gamma=70.60
Atoms (fractional coordinates):
P 0.7505 0.0830 0.3307
P 0.2495 0.5863 0.3307
P 0.2464 0.2476 0.0000
P 0.7536 0.7524 0.0000
P 0.7505 0.4137 0.6693
P 0.2495 0.9170 0.6693
Mg 0.0000 0.0000 0.0000
Zr 0.5000 0.1647 0.6707
Zr 0.0000 0.3342 0.3316
Zr 0.5000 0.5000 0.0000
Zr 0.0000 0.6658 0.6684
Zr 0.5000 0.8353 0.3293

Summary:
Energy of formation in kJ per mole of atoms: -116.3
Magnetic moment in Bohr magnetons per cell: 0.00
E_tot in eV/atom: -7.60

## In4PIr (GGA-PBE)

Data for a relaxed In4PIr crystal.

Unit cell a=5.7834 b=5.7834 c=5.7834 alpha=60.00 beta=60.00 gamma=60.00
Each line ends with the local moment (μB).
Atoms (fractional coordinates):
In 0.8746 0.3751 0.3751  0.02
In 0.3751 0.3751 0.8746  0.02
In 0.3751 0.8746 0.3751  0.02
In 0.3751 0.3751 0.3751  0.02
P 0.0000 0.0000 0.0000  0.09
Ir 0.7500 0.7500 0.7500  0.50

Summary:
Energy of formation in kJ per mole of atoms: 86.3
Magnetic moment in Bohr magnetons per cell: 0.78
E_tot in eV/atom: -3.31

## ReAgIr2 (GGA-PBE)

Data for a relaxed ReAgIr2 crystal.

Unit cell a=5.7450 b=5.7450 c=5.7450 alpha=152.39 beta=132.72 gamma=55.63
Atoms (fractional coordinates):
Re 0.4703 0.4703 0.0000
Ir 0.0285 0.0285 0.0000
Ir 0.2587 0.7587 0.5000
Ag 0.7425 0.2425 0.5000

Summary:
Energy above the most stable polymorph in this dataset in eV/atom: 0.342
Energy of formation in kJ per mole of atoms: 36.2
Magnetic moment in Bohr magnetons per cell: 0.00
E_tot in eV/atom: -7.88

## RbLiBiSe2 (GGA-PBE)

Data for a relaxed RbLiBiSe2 crystal.

Unit cell a=4.1348 b=8.0143 c=8.9340 alpha=90.01 beta=90.00 gamma=90.00
Atoms (fractional coordinates):
Rb 0.9988 0.5000 0.7500
Rb 0.0012 0.5000 0.2500
Li 0.0000 0.0000 0.0000
Li 0.0000 0.0000 0.5000
Bi 0.5000 0.0000 0.2500
Bi 0.5000 0.0000 0.7500
Se 0.5000 0.7602 0.0000
Se 0.5000 0.2398 0.5000
Se 0.5000 0.7602 0.5000
Se 0.5000 0.2398 0.0000

Summary:
Magnetic moment in Bohr magnetons per cell: 0.00
E_tot in eV/atom: -3.52
Uncorrected formation energy in meV/atom: -777